1.
Here is Ba8SbPt2 after structural relaxation from Alexandria via LeMat-Bulk. Energies are from GGA-PBE.

It has space group P-1 (No. 2), with a = 6.514 Å, b = 10.593 Å, c = 10.599 Å, α = 60.03°, β = 89.99° and γ = 90.00°. The inequivalent atoms are Ba at (0.241, 0.333, 0.333), Ba at (0.254, 0.335, 0.834), Ba at (0.254, 0.831, 0.335), Ba at (0.254, 0.834, 0.831), Sb at (0.500, 0.000, 0.000) and Pt at (0.268, 0.667, 0.667).

The total energy is -3.210 eV per atom. As for the raw formation energy: -338 meV per atom.



2.
Here is BaSb2Pt after structural relaxation from Alexandria via LeMat-Bulk. Energies are from GGA-PBE.

It has space group R-3m (No. 166, hexagonal axes), with a = 4.4127 Å, b = 4.4127 Å, c = 20.5845 Å, α = 90.00°, β = 90.00° and γ = 120.00°. The inequivalent atoms are Ba at (0.0000, 0.0000, 0.0000), Sb at (0.0000, 0.0000, 0.2208) and Pt at (0.0000, 0.0000, 0.5000).

The total energy is -4.750 eV per atom. As for the raw formation energy: -698 meV per atom.



3.
Here is BaSb2Pt after structural relaxation from Alexandria via LeMat-Bulk. Energies are from GGA-PBE.

It has space group P2/m (No. 10), with a = 5.240 Å, b = 4.351 Å, c = 5.519 Å, α = 90.00°, β = 106.25° and γ = 90.00°. The inequivalent atoms are Ba at (0.000, 0.000, 0.000), Sb at (0.288, 0.500, 0.662) and Pt at (0.500, 0.000, 0.500).

The total energy is -4.836 eV per atom. As for the raw formation energy: -784 meV per atom.